(1)
A relaxed CuPCS2 crystal, computed with PBE.

Geometry as POSCAR:
```
CuPCS2
1.0
-4.0622 -0.4889 1.9307
1.6127 -3.3809 2.5371
1.1262 2.8585 3.0933
Cu C P S
1 1 1 2
Cartesian
0.0000 0.0000 0.0000
-0.6617 -0.5056 3.7805
0.5631 1.4292 1.5466
0.8064 -1.6904 1.2685
-2.0311 -0.2444 0.9653
```

ρ in g cm⁻³: 3.176
Uncorrected formation energy in eV/atom: 2.0156
Magnetic moment in μB per formula unit: 0.506

=====

(2)
A relaxed CuPCS2 crystal, computed with PBE.

Geometry as POSCAR:
```
CuPCS2
1.0
-0.6885 -0.1532 4.4111
0.6660 -4.4169 -0.0494
3.4704 0.5170 0.5597
C Cu S P
1 1 2 1
Cartesian
0.0000 0.0000 0.0000
1.7239 -2.0265 2.4606
0.3330 -2.2084 -0.0247
-0.3443 -0.0766 2.2055
1.7352 0.2585 0.2798
```

ρ in g cm⁻³: 3.997
Uncorrected formation energy in eV/atom: 1.2421
Magnetic moment in μB per formula unit: 0.000